1.
PmPr3Tm2Se6 | PBE | optimized geometry

Summary:
Calculated total energy (eV per formula unit): -70.42
ΔE_f (raw) (meV per atom): -1790

a = 7.1630 Å, b = 7.1630 Å, c = 7.3510 Å
α = 99.33°, β = 99.33°, γ = 120.20°
Fractional positions:
Pr 0.5000 0.5000 0.5000
Pr 0.1598 0.8402 0.5000
Pr 0.8402 0.1598 0.5000
Pm 0.0000 0.0000 0.0000
Se 0.7319 0.7319 0.2288
Se 0.2681 0.2681 0.7712
Se 0.5775 0.9225 0.7660
Se 0.0775 0.4225 0.2340
Se 0.9225 0.5775 0.7660
Se 0.4225 0.0775 0.2340
Tm 0.3339 0.6661 0.0000
Tm 0.6661 0.3339 0.0000

=====

2.
ZnCd2TcO6 | PBE | optimized geometry

Summary:
Calculated total energy (eV per formula unit): -54.74
ΔE_f (raw) (meV per atom): -1152

a = 5.4472 Å, b = 5.5337 Å, c = 7.8687 Å
α = 90.00°, β = 90.02°, γ = 90.00°
Fractional positions:
Cd 0.4908 0.4530 0.2484
Cd 0.5092 0.5470 0.7516
Cd 0.9908 0.0470 0.7484
Cd 0.0092 0.9530 0.2516
Tc 0.5000 0.0000 0.5000
Tc 0.0000 0.5000 0.0000
O 0.6036 0.0421 0.2627
O 0.1789 0.2111 0.0587
O 0.2067 0.1890 0.4492
O 0.6789 0.2889 0.5587
O 0.8211 0.7889 0.9413
O 0.1036 0.4579 0.7627
O 0.8964 0.5421 0.2373
O 0.7067 0.3110 0.9492
O 0.2933 0.6890 0.0508
O 0.7933 0.8110 0.5508
O 0.3964 0.9579 0.7373
O 0.3211 0.7111 0.4413
Zn 0.5000 0.0000 0.0000
Zn 0.0000 0.5000 0.5000